{"formula": "LuZn4Sn", "functional": "PBE", "state": "relaxed", "cell": [[0.0000, 3.8372, 3.8372], [3.8372, 0.0000, 3.8372], [3.8372, 3.8372, 0.0000]], "species": ["Lu", "Zn", "Zn", "Zn", "Zn", "Sn"], "frac_coords": [[0.0000, 0.0000, 0.0000], [0.3745, 0.3745, 0.3745], [0.3745, 0.3745, 0.8765], [0.3745, 0.8765, 0.3745], [0.8765, 0.3745, 0.3745], [0.7500, 0.7500, 0.7500]], "m_tot_mub_per_atom": 0.000, "formation_energy_kj_per_mol_fu": -83}